No. 1
# Rb2Tl2SeI2

An optimized crystal structure of Rb2Tl2SeI2 (PBE-GGA, Alexandria via LeMat-Bulk).

POSCAR file:
```
Rb2Tl2SeI2
1.0
7.384 -2.504 0.000
7.384 2.504 0.000
-4.823 0.000 8.413
Rb Tl Se I
2 2 1 2
Direct
0.055 0.055 0.293
0.945 0.945 0.707
0.288 0.288 0.917
0.712 0.712 0.083
0.500 0.500 0.000
0.328 0.328 0.363
0.672 0.672 0.637
```

Summary:
Mass density, g/cm³: 4.9
Formation energy without anion corrections, eV/atom: -0.921
Total DFT energy (no corrections), eV/atom: -2.815

***

No. 2
# ZrSn2Ir

An optimized crystal structure of ZrSn2Ir (PBE-GGA, Alexandria via LeMat-Bulk).

POSCAR file:
```
ZrSn2Ir
1.0
0.000 3.420 3.420
3.420 0.000 3.420
3.420 3.420 0.000
Zr Sn Ir
1 2 1
Direct
0.000 0.000 0.000
0.250 0.250 0.250
0.750 0.750 0.750
0.500 0.500 0.500
```

Summary:
Mass density, g/cm³: 10.8
Total DFT energy (no corrections), eV/atom: -6.429

***

No. 3
# Nd4SmCd3

An optimized crystal structure of Nd4SmCd3 (PBE-GGA, Alexandria via LeMat-Bulk).

POSCAR file:
```
Nd4SmCd3
1.0
2.746 1.586 9.170
-2.746 1.586 9.170
0.000 -3.171 9.170
Nd Sm Cd
4 1 3
Direct
0.118 0.118 0.118
0.371 0.371 0.371
0.629 0.629 0.629
0.882 0.882 0.882
0.500 0.500 0.500
0.000 0.000 0.000
0.243 0.243 0.243
0.757 0.757 0.757
```

Summary:
Mass density, g/cm³: 7.4
Total DFT energy (no corrections), eV/atom: -3.494

***

No. 4
# AgOsCl2

An optimized crystal structure of AgOsCl2 (PBE-GGA, Alexandria via LeMat-Bulk).

POSCAR file:
```
AgOsCl2
1.0
3.098 0.000 0.000
0.000 3.794 0.000
0.000 0.000 6.353
Ag Os Cl
1 1 2
Direct
0.000 0.000 0.000
0.000 0.000 0.500
0.500 0.500 0.265
0.500 0.500 0.735
```

Summary:
Energy above the most stable polymorph in this dataset, eV per formula unit: 2.936
Mass density, g/cm³: 8.2
Formation energy without anion corrections, eV/atom: 0.984
Total DFT energy (no corrections), eV/atom: -3.460